First-principles (GGA-PBE) data for a relaxed structure of Pm4Mg5In, as listed in the Alexandria database.

The calculation puts the formation energy at -0.18 eV per atom.

Geometry as CIF:
```
data_Pm4Mg5In
_chemical_formula_sum 'Pm8 Mg10 In2'
_cell_length_a 16.2985
_cell_length_b 5.3000
_cell_length_c 6.6648
_cell_angle_alpha 90.00
_cell_angle_beta 106.16
_cell_angle_gamma 90.00
_space_group_name_H-M_alt 'C 1 2/m 1'
_space_group_IT_number 12
loop_
_space_group_symop_operation_xyz
'x,y,z'
'-x,-y,-z'
'-x,y,-z'
'x,-y,z'
'x+1/2,y+1/2,z'
'-x+1/2,-y+1/2,-z'
'-x+1/2,y+1/2,-z'
'x+1/2,-y+1/2,z'
loop_
_atom_site_label
_atom_site_type_symbol
_atom_site_fract_x
_atom_site_fract_y
_atom_site_fract_z
_atom_site_occupancy
Pm1 Pm 0.0972 0.0000 0.3880 1
Pm2 Pm 0.1931 0.5000 0.8145 1
Mg1 Mg 0.0000 0.5000 0.0000 1
Mg2 Mg 0.0963 0.0000 0.9104 1
Mg3 Mg 0.2005 0.5000 0.3093 1
In1 In 0.0000 0.5000 0.5000 1
```

---

First-principles (GGA-PBE) data for a relaxed structure of Pm12MgIn3, as listed in the Alexandria database.

The calculation puts the formation energy at -0.21 eV per atom.

Geometry as CIF:
```
data_Pm12MgIn3
_chemical_formula_sum 'Pm12 Mg1 In3'
_cell_length_a 4.9689
_cell_length_b 4.9689
_cell_length_c 19.8460
_cell_angle_alpha 90.00
_cell_angle_beta 90.00
_cell_angle_gamma 90.00
_space_group_name_H-M_alt 'P 4/m m m'
_space_group_IT_number 123
_space_group_name_Hall '-P 4 2'
loop_
_atom_site_label
_atom_site_type_symbol
_atom_site_fract_x
_atom_site_fract_y
_atom_site_fract_z
_atom_site_occupancy
Pm1 Pm 0.0000 0.0000 0.0000 1
Pm2 Pm 0.0000 0.0000 0.2492 1
Pm3 Pm 0.0000 0.0000 0.5000 1
Pm4 Pm 0.0000 0.5000 0.1265 1
Pm5 Pm 0.0000 0.5000 0.3750 1
Mg1 Mg 0.5000 0.5000 0.0000 1
In1 In 0.5000 0.5000 0.2510 1
In2 In 0.5000 0.5000 0.5000 1
```

---

First-principles (GGA-PBE) data for a relaxed structure of Pm3Mg2In, as listed in the Alexandria database.

The calculation puts the formation energy at -0.25 eV per atom. The calculation puts the relative energy among the computed polymorphs at 0.0 kJ/mol of formula units.

Geometry as CIF:
```
data_Pm3Mg2In
_chemical_formula_sum 'Pm6 Mg4 In2'
_cell_length_a 5.4196
_cell_length_b 16.3626
_cell_length_c 3.8865
_cell_angle_alpha 90.00
_cell_angle_beta 90.00
_cell_angle_gamma 90.00
_space_group_name_H-M_alt 'C m m m'
_space_group_IT_number 65
_space_group_name_Hall '-C 2 2'
loop_
_atom_site_label
_atom_site_type_symbol
_atom_site_fract_x
_atom_site_fract_y
_atom_site_fract_z
_atom_site_occupancy
Pm1 Pm 0.0000 0.0000 0.0000 1
Pm2 Pm 0.0000 0.3341 0.0000 1
Mg1 Mg 0.0000 0.1696 0.5000 1
In1 In 0.0000 0.5000 0.5000 1
```

---

First-principles (GGA-PBE) data for a relaxed structure of Pm4MgIn2, as listed in the Alexandria database.

The calculation puts the formation energy at -0.15 eV per atom. The calculation puts the relative energy among the computed polymorphs at 76.6 kJ/mol of formula units.

Geometry as CIF:
```
data_Pm4MgIn2
_chemical_formula_sum 'Pm8 Mg2 In4'
_cell_length_a 7.8055
_cell_length_b 6.4467
_cell_length_c 9.2167
_cell_angle_alpha 90.00
_cell_angle_beta 113.10
_cell_angle_gamma 90.00
_space_group_name_H-M_alt 'P 1 21/m 1'
_space_group_IT_number 11
loop_
_space_group_symop_operation_xyz
'x,y,z'
'-x,-y,-z'
'-x,y+1/2,-z'
'x,-y+1/2,z'
loop_
_atom_site_label
_atom_site_type_symbol
_atom_site_fract_x
_atom_site_fract_y
_atom_site_fract_z
_atom_site_occupancy
Pm1 Pm 0.1223 0.2500 0.0635 1
Pm2 Pm 0.1376 0.0040 0.7220 1
Pm3 Pm 0.3106 0.7500 0.2854 1
Mg1 Mg 0.4506 0.7500 0.6598 1
In1 In 0.2568 0.2500 0.4587 1
In2 In 0.4769 0.7500 0.0104 1
```

---

First-principles (GGA-PBE) data for a relaxed structure of PmMgIn, as listed in the Alexandria database.

The calculation puts the formation energy at -0.36 eV per atom. The calculation puts the relative energy among the computed polymorphs at 17.0 kJ/mol of formula units.

Geometry as CIF:
```
data_PmMgIn
_chemical_formula_sum 'Pm1 Mg1 In1'
_cell_length_a 4.9970
_cell_length_b 4.9970
_cell_length_c 3.7221
_cell_angle_alpha 90.00
_cell_angle_beta 90.00
_cell_angle_gamma 120.00
_space_group_name_H-M_alt 'P -6 m 2'
_space_group_IT_number 187
_space_group_name_Hall 'P -6 2'
loop_
_atom_site_label
_atom_site_type_symbol
_atom_site_fract_x
_atom_site_fract_y
_atom_site_fract_z
_atom_site_occupancy
Pm1 Pm 0.0000 0.0000 0.0000 1
Mg1 Mg 0.6667 0.3333 0.5000 1
In1 In 0.3333 0.6667 0.5000 1
```

---

First-principles (GGA-PBE) data for a relaxed structure of Pm4Mg2In, as listed in the Alexandria database.

The calculation puts the formation energy at -0.05 eV per atom.

Geometry as CIF:
```
data_Pm4Mg2In
_chemical_formula_sum 'Pm12 Mg6 In3'
_cell_length_a 5.3798
_cell_length_b 5.3798
_cell_length_c 25.8550
_cell_angle_alpha 90.00
_cell_angle_beta 90.00
_cell_angle_gamma 120.00
_space_group_name_H-M_alt 'R -3 m'
_space_group_IT_number 166
_space_group_name_Hall '-R 3 2"'
loop_
_atom_site_label
_atom_site_type_symbol
_atom_site_fract_x
_atom_site_fract_y
_atom_site_fract_z
_atom_site_occupancy
Pm1 Pm 0.0000 0.0000 0.1165 1
Pm2 Pm 0.0000 0.0000 0.3699 1
Mg1 Mg 0.0000 0.0000 0.2437 1
In1 In 0.0000 0.0000 0.5000 1
```

---

First-principles (GGA-PBE) data for a relaxed structure of PmMgIn6, as listed in the Alexandria database.

The calculation puts the formation energy at -0.20 eV per atom.

Geometry as CIF:
```
data_PmMgIn6
_chemical_formula_sum 'Pm2 Mg2 In12'
_cell_length_a 9.4130
_cell_length_b 9.5798
_cell_length_c 4.5441
_cell_angle_alpha 90.00
_cell_angle_beta 90.00
_cell_angle_gamma 90.00
_space_group_name_H-M_alt 'C m m m'
_space_group_IT_number 65
_space_group_name_Hall '-C 2 2'
loop_
_atom_site_label
_atom_site_type_symbol
_atom_site_fract_x
_atom_site_fract_y
_atom_site_fract_z
_atom_site_occupancy
Pm1 Pm 0.0000 0.0000 0.0000 1
Mg1 Mg 0.0000 0.5000 0.0000 1
In1 In 0.0000 0.2551 0.5000 1
In2 In 0.2397 0.5000 0.5000 1
In3 In 0.2500 0.2500 0.0000 1
```

---

First-principles (GGA-PBE) data for a relaxed structure of Pm5MgIn3, as listed in the Alexandria database.

The calculation puts the formation energy at -0.37 eV per atom.

Geometry as CIF:
```
data_Pm5MgIn3
_chemical_formula_sum 'Pm10 Mg2 In6'
_cell_length_a 9.5366
_cell_length_b 9.5366
_cell_length_c 6.7393
_cell_angle_alpha 90.00
_cell_angle_beta 90.00
_cell_angle_gamma 120.00
_space_group_name_H-M_alt 'P 63/m c m'
_space_group_IT_number 193
_space_group_name_Hall '-P 6c 2'
loop_
_atom_site_label
_atom_site_type_symbol
_atom_site_fract_x
_atom_site_fract_y
_atom_site_fract_z
_atom_site_occupancy
Pm1 Pm 0.0000 0.3084 0.2500 1
Pm2 Pm 0.3333 0.6667 0.0000 1
Mg1 Mg 0.0000 0.0000 0.0000 1
In1 In 0.0000 0.3535 0.7500 1
```

---

First-principles (GGA-PBE) data for a relaxed structure of Pm3MgIn4, as listed in the Alexandria database.

The calculation puts the formation energy at -0.28 eV per atom.

Geometry as CIF:
```
data_Pm3MgIn4
_chemical_formula_sum 'Pm6 Mg2 In8'
_cell_length_a 3.5414
_cell_length_b 6.8159
_cell_length_c 19.3041
_cell_angle_alpha 90.00
_cell_angle_beta 90.00
_cell_angle_gamma 90.00
_space_group_name_H-M_alt 'I m m m'
_space_group_IT_number 71
_space_group_name_Hall '-I 2 2'
loop_
_atom_site_label
_atom_site_type_symbol
_atom_site_fract_x
_atom_site_fract_y
_atom_site_fract_z
_atom_site_occupancy
Pm1 Pm 0.0000 0.0000 0.0000 1
Pm2 Pm 0.0000 0.5000 0.2297 1
Mg1 Mg 0.0000 0.0000 0.5000 1
In1 In 0.0000 0.2669 0.3784 1
```

---

First-principles (GGA-PBE) data for a relaxed structure of Pm2Mg2In3, as listed in the Alexandria database.

The calculation puts the formation energy at -0.36 eV per atom.

Geometry as CIF:
```
data_Pm2Mg2In3
_chemical_formula_sum 'Pm8 Mg8 In12'
_cell_length_a 4.6970
_cell_length_b 20.6275
_cell_length_c 7.7376
_cell_angle_alpha 90.00
_cell_angle_beta 90.00
_cell_angle_gamma 90.00
_space_group_name_H-M_alt 'C m c m'
_space_group_IT_number 63
_space_group_name_Hall '-C 2c 2'
loop_
_atom_site_label
_atom_site_type_symbol
_atom_site_fract_x
_atom_site_fract_y
_atom_site_fract_z
_atom_site_occupancy
Pm1 Pm 0.0000 0.0496 0.2500 1
Pm2 Pm 0.0000 0.1533 0.7500 1
Mg1 Mg 0.0000 0.3084 0.5548 1
In1 In 0.0000 0.2223 0.2500 1
In2 In 0.0000 0.4375 0.0651 1
```

---

First-principles (GGA-PBE) data for a relaxed structure of Pm3Mg2In4, as listed in the Alexandria database.

The calculation puts the formation energy at -0.42 eV per atom.

Geometry as CIF:
```
data_Pm3Mg2In4
_chemical_formula_sum 'Pm6 Mg4 In8'
_cell_length_a 11.4043
_cell_length_b 4.9724
_cell_length_c 9.4194
_cell_angle_alpha 90.00
_cell_angle_beta 116.10
_cell_angle_gamma 90.00
_space_group_name_H-M_alt 'C 1 2/m 1'
_space_group_IT_number 12
loop_
_space_group_symop_operation_xyz
'x,y,z'
'-x,-y,-z'
'-x,y,-z'
'x,-y,z'
'x+1/2,y+1/2,z'
'-x+1/2,-y+1/2,-z'
'-x+1/2,y+1/2,-z'
'x+1/2,-y+1/2,z'
loop_
_atom_site_label
_atom_site_type_symbol
_atom_site_fract_x
_atom_site_fract_y
_atom_site_fract_z
_atom_site_occupancy
Pm1 Pm 0.0000 0.0000 0.0000 1
Pm2 Pm 0.1646 0.5000 0.6679 1
Mg1 Mg 0.1139 0.5000 0.2828 1
In1 In 0.0643 0.0000 0.3949 1
In2 In 0.2106 0.5000 0.0499 1
```

---

First-principles (GGA-PBE) data for a relaxed structure of Pm8MgIn2, as listed in the Alexandria database.

The calculation puts the formation energy at -0.16 eV per atom.

Geometry as CIF:
```
data_Pm8MgIn2
_chemical_formula_sum 'Pm16 Mg2 In4'
_cell_length_a 17.4168
_cell_length_b 5.0831
_cell_length_c 8.2971
_cell_angle_alpha 90.00
_cell_angle_beta 110.94
_cell_angle_gamma 90.00
_space_group_name_H-M_alt 'C 1 2/m 1'
_space_group_IT_number 12
loop_
_space_group_symop_operation_xyz
'x,y,z'
'-x,-y,-z'
'-x,y,-z'
'x,-y,z'
'x+1/2,y+1/2,z'
'-x+1/2,-y+1/2,-z'
'-x+1/2,y+1/2,-z'
'x+1/2,-y+1/2,z'
loop_
_atom_site_label
_atom_site_type_symbol
_atom_site_fract_x
_atom_site_fract_y
_atom_site_fract_z
_atom_site_occupancy
Pm1 Pm 0.0544 0.0000 0.2296 1
Pm2 Pm 0.0977 0.5000 0.9586 1
Pm3 Pm 0.1440 0.0000 0.7053 1
Pm4 Pm 0.1822 0.5000 0.4409 1
Mg1 Mg 0.0000 0.5000 0.5000 1
In1 In 0.2249 0.0000 0.1432 1
```

---

> Number 2 is which compound?

Pm12MgIn3

---

> Number 5 is which compound?

PmMgIn